# ZnCoO3 (GGA+U, optimized geometry)
# **E**: -23.1 eV/cell
data_ZnCoO3
_symmetry_space_group_name_H-M 'P m -3 m'
_symmetry_Int_Tables_number 221
_symmetry_space_group_name_Hall '-P 4 2 3'
_cell_length_a 3.6647
_cell_length_b 3.6647
_cell_length_c 3.6647
_cell_angle_alpha 90.00
_cell_angle_beta 90.00
_cell_angle_gamma 90.00
loop_
_atom_site_label
_atom_site_type_symbol
_atom_site_fract_x
_atom_site_fract_y
_atom_site_fract_z
Zn1 Zn 0.0000 0.0000 0.0000
Co1 Co 0.5000 0.5000 0.5000
O1 O 0.0000 0.5000 0.5000